# 1
The following is a PBE-GGA calculation of Ti5Re4Ag after structural relaxation, from the Alexandria database.

## Properties
Space group: P4/mmm
ΔE_f: -331.4 meV per atom

Cell: 3.139 3.139 15.941 Å, 90.00 90.00 90.00°
Positions (direct):
Ti  0.000  0.000  0.000
Ti  0.000  0.000  0.194
Ti  0.000  0.000  0.382
Ti  0.000  0.000  0.618
Ti  0.000  0.000  0.806
Re  0.500  0.500  0.097
Re  0.500  0.500  0.294
Re  0.500  0.500  0.706
Re  0.500  0.500  0.903
Ag  0.500  0.500  0.500

=====

# 2
The following is a PBE-GGA calculation of Pm3SiC after structural relaxation, from the Alexandria database.

## Properties
Space group: Pm-3m
Formation energy from raw total energies: -0.293 eV/atom

Cell: 4.976 4.976 4.976 Å, 90.00 90.00 90.00°
Positions (direct):
Pm  0.000  0.000  0.500
Pm  0.000  0.500  0.000
Pm  0.500  0.000  0.000
Si  0.500  0.500  0.500
C  0.000  0.000  0.000

=====

# 3
The following is a PBE-GGA calculation of CaGe2Au2 after structural relaxation, from the Alexandria database.

## Properties
Space group: P4/mbm
ΔE_f: -212.2 meV per atom

Cell: 7.826 7.826 3.368 Å, 90.00 90.00 90.00°
Positions (direct):
Ca  0.000  0.000  0.000
Ca  0.500  0.500  0.000
Ge  0.137  0.363  0.000
Ge  0.363  0.863  0.000
Ge  0.637  0.137  0.000
Ge  0.863  0.637  0.000
Au  0.158  0.658  0.500
Au  0.342  0.158  0.500
Au  0.658  0.842  0.500
Au  0.842  0.342  0.500

=====

# 4
The following is a PBE-GGA calculation of Al2CrAg after structural relaxation, from the Alexandria database.

## Properties
Space group: Fm-3m
ΔE_f: 54.1 meV per atom

Cell: 6.301 6.301 6.301 Å, 90.00 90.00 90.00°
Positions (direct):
Al  0.250  0.250  0.250
Al  0.250  0.250  0.750
Al  0.250  0.750  0.250
Al  0.250  0.750  0.750
Al  0.750  0.250  0.250
Al  0.750  0.250  0.750
Al  0.750  0.750  0.250
Al  0.750  0.750  0.750
Cr  0.000  0.000  0.000
Cr  0.000  0.500  0.500
Cr  0.500  0.000  0.500
Cr  0.500  0.500  0.000
Ag  0.000  0.000  0.500
Ag  0.000  0.500  0.000
Ag  0.500  0.000  0.000
Ag  0.500  0.500  0.500

=====

# 5
The following is a PBE-GGA calculation of LiInPb after structural relaxation, from the Alexandria database.

## Properties
Space group: P6_3mc
ΔE_f: -79.3 meV per atom

Cell: 4.899 4.899 8.011 Å, 90.00 90.00 120.00°
Positions (direct):
Li  0.000  0.000  0.000
Li  0.000  0.000  0.500
In  0.333  0.667  0.311
In  0.667  0.333  0.811
Pb  0.333  0.667  0.691
Pb  0.667  0.333  0.191

=====

# 6
The following is a PBE-GGA calculation of Li2YSc after structural relaxation, from the Alexandria database.

## Properties
Space group: P4mm
ΔE_f: 85.7 meV per atom

Cell: 3.577 3.577 7.450 Å, 90.00 90.00 90.00°
Positions (direct):
Li  0.000  0.000  0.000
Li  0.500  0.500  0.187
Y  0.500  0.500  0.719
Sc  0.000  0.000  0.432

=====

# 7
The following is a PBE-GGA calculation of Mg3GaO4 after structural relaxation, from the Alexandria database.

## Properties
Space group: Pmn2_1
Formation energy from raw total energies: -2.221 eV/atom

Cell: 6.698 5.804 5.251 Å, 90.00 90.00 90.00°
Positions (direct):
Mg  0.000  0.164  0.000
Mg  0.249  0.668  0.000
Mg  0.251  0.332  0.500
Mg  0.500  0.836  0.500
Mg  0.749  0.332  0.500
Mg  0.751  0.668  0.000
Ga  0.000  0.831  0.503
Ga  0.500  0.169  0.003
O  0.000  0.164  0.612
O  0.000  0.833  0.122
O  0.248  0.334  0.112
O  0.252  0.666  0.612
O  0.500  0.167  0.622
O  0.500  0.836  0.112
O  0.748  0.666  0.612
O  0.752  0.334  0.112

=====

# 8
The following is a PBE-GGA calculation of LiPm2Dy after structural relaxation, from the Alexandria database.

## Properties
Space group: R-3m
ΔE_f: 162.5 meV per atom

Cell: 3.509 3.509 37.038 Å, 90.00 90.00 120.00°
Positions (direct):
Li  0.000  0.000  0.000
Li  0.333  0.667  0.667
Li  0.667  0.333  0.333
Pm  0.000  0.000  0.089
Pm  0.000  0.000  0.911
Pm  0.333  0.667  0.578
Pm  0.333  0.667  0.756
Pm  0.667  0.333  0.244
Pm  0.667  0.333  0.422
Dy  0.000  0.000  0.500
Dy  0.333  0.667  0.167
Dy  0.667  0.333  0.833

=====

# 9
The following is a PBE-GGA calculation of Ho3MgZr after structural relaxation, from the Alexandria database.

## Properties
Space group: C2/m
ΔE_f: 88.2 meV per atom

Cell: 11.088 11.088 8.076 Å, 107.07 107.07 17.43°
Positions (direct):
Ho  0.018  0.018  0.220
Ho  0.179  0.179  0.443
Ho  0.374  0.374  0.967
Ho  0.626  0.626  0.033
Ho  0.821  0.821  0.557
Ho  0.982  0.982  0.780
Mg  0.421  0.421  0.399
Mg  0.579  0.579  0.601
Zr  0.261  0.261  0.167
Zr  0.739  0.739  0.833

=====

# 10
The following is a PBE-GGA calculation of VB2AsH after structural relaxation, from the Alexandria database.

## Properties
Space group: P4/mmm
VASP energy: -5.0661 eV per atom

Cell: 4.062 4.062 3.437 Å, 90.00 90.00 90.00°
Positions (direct):
V  0.000  0.000  0.000
B  0.000  0.500  0.000
B  0.500  0.000  0.000
As  0.500  0.500  0.500
H  0.000  0.000  0.500

=====

# 11
The following is a PBE-GGA calculation of SrSi2Se after structural relaxation, from the Alexandria database.

## Properties
Space group: C2/m
Formation energy from raw total energies: -0.409 eV/atom

Cell: 12.363 3.977 4.729 Å, 90.00 108.72 90.00°
Positions (direct):
Sr  0.000  0.000  0.000
Sr  0.500  0.500  0.000
Si  0.213  0.500  0.877
Si  0.287  0.000  0.123
Si  0.713  0.000  0.877
Si  0.787  0.500  0.123
Se  0.000  0.500  0.500
Se  0.500  0.000  0.500

=====

# 12
The following is a PBE-GGA calculation of ErAlGaRh after structural relaxation, from the Alexandria database.

## Properties
Space group: F-43m
ΔE_f: -601.5 meV per atom

Cell: 6.553 6.553 6.553 Å, 90.00 90.00 90.00°
Positions (direct):
Er  0.000  0.000  0.000
Er  0.000  0.500  0.500
Er  0.500  0.000  0.500
Er  0.500  0.500  0.000
Al  0.000  0.000  0.500
Al  0.000  0.500  0.000
Al  0.500  0.000  0.000
Al  0.500  0.500  0.500
Ga  0.250  0.250  0.750
Ga  0.250  0.750  0.250
Ga  0.750  0.250  0.250
Ga  0.750  0.750  0.750
Rh  0.250  0.250  0.250
Rh  0.250  0.750  0.750
Rh  0.750  0.250  0.750
Rh  0.750  0.750  0.250

=====

# 13
The following is a PBE-GGA calculation of ErTc12P6 after structural relaxation, from the Alexandria database.

## Properties
Space group: R-3m
ΔE_f: -409.2 meV per atom

Cell: 6.868 6.868 6.868 Å, 103.88 103.88 103.88°
Positions (direct):
Er  0.000  0.000  0.000
Tc  0.134  0.500  0.866
Tc  0.134  0.866  0.500
Tc  0.184  0.451  0.451
Tc  0.451  0.184  0.451
Tc  0.451  0.451  0.184
Tc  0.500  0.134  0.866
Tc  0.500  0.866  0.134
Tc  0.549  0.549  0.816
Tc  0.549  0.816  0.549
Tc  0.816  0.549  0.549
Tc  0.866  0.134  0.500
Tc  0.866  0.500  0.134
P  0.234  0.234  0.682
P  0.234  0.682  0.234
P  0.318  0.766  0.766
P  0.682  0.234  0.234
P  0.766  0.318  0.766
P  0.766  0.766  0.318

=====

# 14
The following is a PBE-GGA calculation of Sm15Y2Tm2 after structural relaxation, from the Alexandria database.

## Properties
Space group: R-3m
ΔE_f: 281.4 meV per atom

Cell: 8.839 8.839 8.839 Å, 78.46 78.46 78.46°
Positions (direct):
Sm  0.000  0.000  0.500
Sm  0.000  0.297  0.703
Sm  0.000  0.500  0.000
Sm  0.000  0.703  0.297
Sm  0.155  0.620  0.620
Sm  0.297  0.000  0.703
Sm  0.297  0.703  0.000
Sm  0.380  0.380  0.845
Sm  0.380  0.845  0.380
Sm  0.500  0.000  0.000
Sm  0.620  0.155  0.620
Sm  0.620  0.620  0.155
Sm  0.703  0.000  0.297
Sm  0.703  0.297  0.000
Sm  0.845  0.380  0.380
Y  0.094  0.094  0.094
Y  0.906  0.906  0.906
Tm  0.314  0.314  0.314
Tm  0.686  0.686  0.686

=====

# 15
The following is a PBE-GGA calculation of CuSi2Ru after structural relaxation, from the Alexandria database.

## Properties
Space group: Pmmm
Formation energy from raw total energies: 0.025 eV/atom

Cell: 3.073 3.817 4.506 Å, 90.00 90.00 90.00°
Positions (direct):
Cu  0.000  0.000  0.000
Si  0.000  0.500  0.500
Si  0.500  0.500  0.000
Ru  0.500  0.000  0.500

=====

# 16
The following is a PBE-GGA calculation of Ca3PtAu2 after structural relaxation, from the Alexandria database.

## Properties
Space group: Cmmm
ΔE_f: -829.5 meV per atom

Cell: 7.987 7.987 7.247 Å, 90.00 90.00 143.04°
Positions (direct):
Ca  0.000  0.000  0.244
Ca  0.000  0.000  0.756
Ca  0.330  0.670  0.239
Ca  0.330  0.670  0.761
Ca  0.670  0.330  0.239
Ca  0.670  0.330  0.761
Pt  0.164  0.836  0.000
Pt  0.836  0.164  0.000
Au  0.166  0.834  0.500
Au  0.500  0.500  0.000
Au  0.500  0.500  0.500
Au  0.834  0.166  0.500

=====

# 17
The following is a PBE-GGA calculation of CdAsRu2 after structural relaxation, from the Alexandria database.

## Properties
Space group: P4mm
ΔE_f: 122.2 meV per atom

Cell: 2.908 2.908 8.175 Å, 90.00 90.00 90.00°
Positions (direct):
Cd  0.000  0.000  0.000
As  0.500  0.500  0.649
Ru  0.000  0.000  0.454
Ru  0.500  0.500  0.244

=====

# 18
The following is a PBE-GGA calculation of Pm6Nd3Mg after structural relaxation, from the Alexandria database.

## Properties
Space group: Cmc2_1
ΔE_f: 96.8 meV per atom

Cell: 10.177 10.177 9.476 Å, 90.00 90.00 135.86°
Positions (direct):
Pm  0.043  0.957  0.500
Pm  0.053  0.444  0.960
Pm  0.175  0.305  0.694
Pm  0.291  0.709  0.664
Pm  0.305  0.175  0.194
Pm  0.444  0.053  0.460
Pm  0.556  0.947  0.960
Pm  0.695  0.825  0.694
Pm  0.709  0.291  0.164
Pm  0.825  0.695  0.194
Pm  0.947  0.556  0.460
Pm  0.957  0.043  0.000
Nd  0.126  0.377  0.326
Nd  0.377  0.126  0.826
Nd  0.458  0.542  0.993
Nd  0.542  0.458  0.493
Nd  0.623  0.874  0.326
Nd  0.874  0.623  0.826
Mg  0.215  0.785  0.174
Mg  0.785  0.215  0.674

=====

# 19
The following is a PBE-GGA calculation of Pm8SbTe4As3 after structural relaxation, from the Alexandria database.

## Properties
Space group: R-3m
Formation energy from raw total energies: -1.485 eV/atom

Cell: 8.855 8.855 8.855 Å, 58.96 58.96 58.96°
Positions (direct):
Pm  0.231  0.747  0.747
Pm  0.240  0.240  0.240
Pm  0.253  0.253  0.769
Pm  0.253  0.769  0.253
Pm  0.747  0.231  0.747
Pm  0.747  0.747  0.231
Pm  0.760  0.760  0.760
Pm  0.769  0.253  0.253
Sb  0.500  0.500  0.500
Te  0.000  0.000  0.000
Te  0.000  0.500  0.500
Te  0.500  0.000  0.500
Te  0.500  0.500  0.000
As  0.000  0.000  0.500
As  0.000  0.500  0.000
As  0.500  0.000  0.000

=====

# 20
The following is a PBE-GGA calculation of RbTlInBi after structural relaxation, from the Alexandria database.

## Properties
Space group: R3m
ΔE_f: -125.6 meV per atom

Cell: 5.131 5.131 21.231 Å, 90.00 90.00 120.00°
Positions (direct):
Rb  0.000  0.000  0.000
Rb  0.333  0.667  0.667
Rb  0.667  0.333  0.333
Tl  0.000  0.000  0.555
Tl  0.333  0.667  0.222
Tl  0.667  0.333  0.888
In  0.000  0.000  0.185
In  0.333  0.667  0.852
In  0.667  0.333  0.518
Bi  0.000  0.000  0.788
Bi  0.333  0.667  0.455
Bi  0.667  0.333  0.121

=====

# 21
The following is a PBE-GGA calculation of Cu2Bi2Se after structural relaxation, from the Alexandria database.

## Properties
Space group: P4/mbm
Formation energy from raw total energies: 0.248 eV/atom

Cell: 8.078 8.078 3.502 Å, 90.00 90.00 90.00°
Positions (direct):
Cu  0.106  0.394  0.000
Cu  0.394  0.894  0.000
Cu  0.606  0.106  0.000
Cu  0.894  0.606  0.000
Bi  0.193  0.693  0.500
Bi  0.307  0.193  0.500
Bi  0.693  0.807  0.500
Bi  0.807  0.307  0.500
Se  0.000  0.000  0.500
Se  0.500  0.500  0.500

=====

# 22
The following is a PBE-GGA calculation of Co4Pt2Pb after structural relaxation, from the Alexandria database.

## Properties
Space group: I4/mmm
ΔE_f: 1286.6 meV per atom

Cell: 4.673 4.673 12.524 Å, 90.00 90.00 90.00°
Positions (direct):
Co  0.000  0.000  0.207
Co  0.000  0.000  0.793
Co  0.000  0.500  0.000
Co  0.000  0.500  0.500
Co  0.500  0.000  0.000
Co  0.500  0.000  0.500
Co  0.500  0.500  0.293
Co  0.500  0.500  0.707
Pt  0.000  0.000  0.394
Pt  0.000  0.000  0.606
Pt  0.500  0.500  0.106
Pt  0.500  0.500  0.894
Pb  0.000  0.000  0.000
Pb  0.500  0.500  0.500

=====

# 23
The following is a PBE-GGA calculation of U6AsC3S2 after structural relaxation, from the Alexandria database.

## Properties
Space group: C2/m
Formation energy from raw total energies: -0.619 eV/atom

Cell: 8.439 8.439 7.587 Å, 105.63 105.63 25.17°
Positions (direct):
U  0.008  0.008  0.220
U  0.322  0.322  0.437
U  0.341  0.341  0.899
U  0.659  0.659  0.101
U  0.678  0.678  0.563
U  0.992  0.992  0.780
As  0.500  0.500  0.500
C  0.165  0.165  0.329
C  0.500  0.500  0.000
C  0.835  0.835  0.671
S  0.167  0.167  0.831
S  0.833  0.833  0.169